MnAgSe2: optimized geometry, PBE.

Cell and atoms, written as CIF:
```
data_MnAgSe2
_cell_length_a 5.086
_cell_length_b 5.086
_cell_length_c 12.141
_cell_angle_alpha 90.00
_cell_angle_beta 90.00
_cell_angle_gamma 90.00
_space_group_name_H-M_alt 'I 41/a m d'
_space_group_IT_number 141
loop_
_space_group_symop_operation_xyz
'x,y,z'
'-x,-y,-z'
'-y+1/4,x+3/4,z+1/4'
'y+1/4,-x+3/4,-z+1/4'
'-x+1/2,-y,z+1/2'
'x+1/2,y,-z+1/2'
'y+1/4,-x+1/4,z+3/4'
'-y+1/4,x+1/4,-z+3/4'
'x,-y,-z'
'-x,y,z'
'-y+1/4,-x+1/4,-z+3/4'
'y+1/4,x+1/4,z+3/4'
'-x+1/2,y,-z+1/2'
'x+1/2,-y,z+1/2'
'y+1/4,x+3/4,-z+1/4'
'-y+1/4,-x+3/4,z+1/4'
'x+1/2,y+1/2,z+1/2'
'-x+1/2,-y+1/2,-z+1/2'
'-y+3/4,x+1/4,z+3/4'
'y+3/4,-x+1/4,-z+3/4'
'-x,-y+1/2,z'
'x,y+1/2,-z'
'y+3/4,-x+3/4,z+1/4'
'-y+3/4,x+3/4,-z+1/4'
'x+1/2,-y+1/2,-z+1/2'
'-x+1/2,y+1/2,z+1/2'
'-y+3/4,-x+3/4,-z+1/4'
'y+3/4,x+3/4,z+1/4'
'-x,y+1/2,-z'
'x,-y+1/2,z'
'y+3/4,x+1/4,-z+3/4'
'-y+3/4,-x+1/4,z+3/4'
loop_
_atom_site_label
_atom_site_type_symbol
_atom_site_fract_x
_atom_site_fract_y
_atom_site_fract_z
Mn1 Mn 0.000 0.250 0.375
Ag1 Ag 0.000 0.250 0.875
Se1 Se 0.000 0.250 0.176
```

Computed properties:
energy relative to the elements, uncorrected = 0.13 eV/atom
density of states at the Fermi level = 25.94 states/eV per cell
density = 6.78 g/cm3
magnetization = 0.10 μB/atom

CaPr3Te4: optimized geometry, PBE.

Cell and atoms, written as CIF:
```
data_CaPr3Te4
_cell_length_a 9.133
_cell_length_b 12.791
_cell_length_c 4.484
_cell_angle_alpha 90.00
_cell_angle_beta 90.00
_cell_angle_gamma 90.00
_space_group_name_H-M_alt 'C m m m'
_space_group_IT_number 65
_space_group_name_Hall '-C 2 2'
loop_
_atom_site_label
_atom_site_type_symbol
_atom_site_fract_x
_atom_site_fract_y
_atom_site_fract_z
Ca1 Ca 0.000 0.000 0.000
Pr1 Pr 0.000 0.500 0.000
Pr2 Pr 0.250 0.250 0.500
Te1 Te 0.000 0.247 0.000
Te2 Te 0.244 0.000 0.500
```

Computed properties:
energy relative to the elements, uncorrected = -1.48 eV/atom
density of states at the Fermi level = 7.59 states/eV per cell
density = 6.17 g/cm3
magnetization = 0.00 μB/atom

La3TbDy2Sb6: optimized geometry, PBE.

Cell and atoms, written as CIF:
```
data_La3TbDy2Sb6
_cell_length_a 7.821
_cell_length_b 13.542
_cell_length_c 7.795
_cell_angle_alpha 90.00
_cell_angle_beta 109.52
_cell_angle_gamma 90.00
_space_group_name_H-M_alt 'C 1 2/m 1'
_space_group_IT_number 12
loop_
_space_group_symop_operation_xyz
'x,y,z'
'-x,-y,-z'
'-x,y,-z'
'x,-y,z'
'x+1/2,y+1/2,z'
'-x+1/2,-y+1/2,-z'
'-x+1/2,y+1/2,-z'
'x+1/2,-y+1/2,z'
loop_
_atom_site_label
_atom_site_type_symbol
_atom_site_fract_x
_atom_site_fract_y
_atom_site_fract_z
La1 La 0.000 0.000 0.000
La2 La 0.000 0.334 0.000
Tb1 Tb 0.000 0.500 0.500
Dy1 Dy 0.000 0.167 0.500
Sb1 Sb 0.245 0.000 0.737
Sb2 Sb 0.246 0.333 0.737
```

Computed properties:
energy relative to the elements, uncorrected = -1.20 eV/atom
density of states at the Fermi level = 4.33 states/eV per cell
density = 6.96 g/cm3
magnetization = 0.00 μB/atom

BaSi2Pd5: optimized geometry, PBE.

Cell and atoms, written as CIF:
```
data_BaSi2Pd5
_cell_length_a 3.986
_cell_length_b 7.110
_cell_length_c 10.402
_cell_angle_alpha 90.00
_cell_angle_beta 90.00
_cell_angle_gamma 90.00
_space_group_name_H-M_alt 'I m m m'
_space_group_IT_number 71
_space_group_name_Hall '-I 2 2'
loop_
_atom_site_label
_atom_site_type_symbol
_atom_site_fract_x
_atom_site_fract_y
_atom_site_fract_z
Ba1 Ba 0.000 0.000 0.000
Si1 Si 0.000 0.500 0.231
Pd1 Pd 0.000 0.193 0.338
Pd2 Pd 0.000 0.500 0.000
```

Computed properties:
energy relative to the elements, uncorrected = -0.68 eV/atom
density of states at the Fermi level = 5.31 states/eV per cell
density = 8.17 g/cm3
magnetization = 0.00 μB/atom

LiPtI: optimized geometry, PBE.

Cell and atoms, written as CIF:
```
data_LiPtI
_cell_length_a 3.842
_cell_length_b 6.008
_cell_length_c 6.710
_cell_angle_alpha 92.97
_cell_angle_beta 100.13
_cell_angle_gamma 98.26
_space_group_name_H-M_alt 'P -1'
_space_group_IT_number 2
loop_
_space_group_symop_operation_xyz
'x,y,z'
'-x,-y,-z'
loop_
_atom_site_label
_atom_site_type_symbol
_atom_site_fract_x
_atom_site_fract_y
_atom_site_fract_z
Li1 Li 0.122 0.305 0.223
Pt1 Pt 0.261 0.407 0.602
I1 I 0.227 0.808 0.199
```

Computed properties:
energy relative to the elements, uncorrected = -0.48 eV/atom
density of states at the Fermi level = 0.00 states/eV per cell
excess energy over the best structure of this formula in the dataset = 0.103 eV per atom
density = 7.26 g/cm3
magnetization = 0.00 μB/atom

CdOsSeBr2: optimized geometry, PBE.

Cell and atoms, written as CIF:
```
data_CdOsSeBr2
_cell_length_a 5.282
_cell_length_b 5.282
_cell_length_c 5.502
_cell_angle_alpha 90.00
_cell_angle_beta 90.00
_cell_angle_gamma 90.00
_space_group_name_H-M_alt 'P 4/m m m'
_space_group_IT_number 123
_space_group_name_Hall '-P 4 2'
loop_
_atom_site_label
_atom_site_type_symbol
_atom_site_fract_x
_atom_site_fract_y
_atom_site_fract_z
Cd1 Cd 0.000 0.000 0.000
Os1 Os 0.500 0.500 0.500
Se1 Se 0.000 0.000 0.500
Br1 Br 0.000 0.500 0.000
```

Computed properties:
energy relative to the elements, uncorrected = 1.24 eV/atom
density of states at the Fermi level = 4.29 states/eV per cell
excess energy over the best structure of this formula in the dataset = 0.909 eV per atom
density = 5.86 g/cm3
magnetization = 0.93 μB/atom

Tm12Ga6Ni: optimized geometry, PBE.

Cell and atoms, written as CIF:
```
data_Tm12Ga6Ni
_cell_length_a 12.5880
_cell_length_b 12.5880
_cell_length_c 11.7008
_cell_angle_alpha 90.00
_cell_angle_beta 90.00
_cell_angle_gamma 120.00
_space_group_name_H-M_alt 'R -3'
_space_group_IT_number 148
_space_group_name_Hall '-R 3'
loop_
_atom_site_label
_atom_site_type_symbol
_atom_site_fract_x
_atom_site_fract_y
_atom_site_fract_z
Tm1 Tm 0.0359 0.2123 0.3942
Tm2 Tm 0.0458 0.1994 0.8856
Ga1 Ga 0.0502 0.2682 0.6476
Ni1 Ni 0.0000 0.0000 0.0000
```

Computed properties:
ΔE_f = -0.21 eV/atom
density of states at the Fermi level = 57.56 states/eV per cell
density = 7.77 g/cm3
magnetization = 0.00 μB/atom

BaLaAs: optimized geometry, PBE.

Cell and atoms, written as CIF:
```
data_BaLaAs
_cell_length_a 7.511
_cell_length_b 7.511
_cell_length_c 7.511
_cell_angle_alpha 90.00
_cell_angle_beta 90.00
_cell_angle_gamma 90.00
_space_group_name_H-M_alt 'F -4 3 m'
_space_group_IT_number 216
_space_group_name_Hall 'F -4 2 3'
loop_
_atom_site_label
_atom_site_type_symbol
_atom_site_fract_x
_atom_site_fract_y
_atom_site_fract_z
Ba1 Ba 0.000 0.000 0.000
La1 La 0.000 0.000 0.500
As1 As 0.250 0.250 0.250
```

Computed properties:
ΔE_f = -0.74 eV/atom
density of states at the Fermi level = 14.11 states/eV per cell
excess energy over the best structure of this formula in the dataset = 0.130 eV per atom
density = 5.50 g/cm3
magnetization = 0.00 μB/atom

K2TiTcPt: optimized geometry, PBE.

Cell and atoms, written as CIF:
```
data_K2TiTcPt
_cell_length_a 5.986
_cell_length_b 5.986
_cell_length_c 4.841
_cell_angle_alpha 90.00
_cell_angle_beta 90.00
_cell_angle_gamma 90.00
_space_group_name_H-M_alt 'P 4/m m m'
_space_group_IT_number 123
_space_group_name_Hall '-P 4 2'
loop_
_atom_site_label
_atom_site_type_symbol
_atom_site_fract_x
_atom_site_fract_y
_atom_site_fract_z
K1 K 0.000 0.500 0.000
Ti1 Ti 0.000 0.000 0.500
Tc1 Tc 0.500 0.500 0.500
Pt1 Pt 0.500 0.500 0.000
```

Computed properties:
ΔE_f = 1.53 eV/atom
density of states at the Fermi level = 10.97 states/eV per cell
density = 4.01 g/cm3
magnetization = 0.45 μB/atom

Pr2AlZn2Pt5: optimized geometry, PBE.

Cell and atoms, written as CIF:
```
data_Pr2AlZn2Pt5
_cell_length_a 9.918
_cell_length_b 9.918
_cell_length_c 3.730
_cell_angle_alpha 90.00
_cell_angle_beta 90.00
_cell_angle_gamma 90.00
_space_group_name_H-M_alt 'P 4/m b m'
_space_group_IT_number 127
_space_group_name_Hall '-P 4 2ab'
loop_
_atom_site_label
_atom_site_type_symbol
_atom_site_fract_x
_atom_site_fract_y
_atom_site_fract_z
Pr1 Pr 0.177 0.323 0.000
Al1 Al 0.000 0.000 0.000
Zn1 Zn 0.122 0.622 0.000
Pt1 Pt 0.000 0.500 0.500
Pt2 Pt 0.058 0.800 0.500
```

Computed properties:
ΔE_f = -0.81 eV/atom
density of states at the Fermi level = 8.56 states/eV per cell
density = 12.81 g/cm3
magnetization = 0.00 μB/atom

Al2IrW: optimized geometry, PBE.

Cell and atoms, written as CIF:
```
data_Al2IrW
_cell_length_a 6.152
_cell_length_b 6.152
_cell_length_c 6.152
_cell_angle_alpha 90.00
_cell_angle_beta 90.00
_cell_angle_gamma 90.00
_space_group_name_H-M_alt 'F m -3 m'
_space_group_IT_number 225
_space_group_name_Hall '-F 4 2 3'
loop_
_atom_site_label
_atom_site_type_symbol
_atom_site_fract_x
_atom_site_fract_y
_atom_site_fract_z
Al1 Al 0.250 0.250 0.250
Ir1 Ir 0.000 0.000 0.000
W1 W 0.000 0.000 0.500
```

Computed properties:
ΔE_f = -0.19 eV/atom
density of states at the Fermi level = 20.66 states/eV per cell
excess energy over the best structure of this formula in the dataset = 0.194 eV per atom
density = 12.27 g/cm3
magnetization = 0.37 μB/atom